# Li2MoOsO6

Crystalline Li2MoOsO6 at its relaxed geometry (PBE with a Hubbard U, Alexandria).

The structure belongs to space group P4mm (No. 99); the cell edges are 5.613, 5.613 and 3.815 Å and the angles 90.00°, 90.00° and 90.00°. The inequivalent atoms are Li at (0.000, 0.500, 0.000), Mo at (0.000, 0.000, 0.874), Os at (0.500, 0.500, 0.895), O at (0.000, 0.000, 0.391), O at (0.246, 0.246, 0.901) and O at (0.500, 0.500, 0.396).

The value obtained for the total DFT energy (no corrections) is -66.73 eV/cell. The density comes out at 5.47 Mg/m³. For the magnetic moment, the calculation gives 0.00 μB/f.u.